Computed, not measured: crystalline RhW2N at its relaxed geometry at the PBE-GGA level of DFT.

The structure in POSCAR format:
```
RhW2N
1.0
3.088 0.000 0.000
1.544 2.674 0.000
1.544 0.891 6.500
W N Rh
2 1 1
direct
0.224 0.224 0.329 W
0.776 0.776 0.671 W
0.500 0.500 0.500 N
0.000 0.000 0.000 Rh
```

Values from the calculation:
**E_tot**: -40.870 eV/cell
**Symmetry**: R-3m, No. 166
**Formation energy without anion corrections**: 0.7 eV/f.u.